Record 1
TlCo2Ir: optimized geometry, GGA-PBE.

The uncorrected energy is -23.78 eV/f.u. The space group is Pmmm.

Unit cell a=3.588 b=2.791 c=6.560 alpha=64.82 beta=90.00 gamma=90.00
Last column: magnetic moment on the atom in μB.
Positions (direct):
Tl (0.500, 0.750, 0.750)  -0.03
Co (0.000, 0.542, 0.458)  1.23
Co (0.000, 0.958, 0.042)  1.23
Ir (0.500, 0.250, 0.250)  0.36

***

Record 2
TlCoIr2: optimized geometry, GGA-PBE.

The uncorrected energy is -25.20 eV/f.u. The space group is I-4m2.

Unit cell a=4.779 b=4.779 c=4.779 alpha=130.65 beta=130.65 gamma=72.37
Positions (direct):
Co (0.750, 0.250, 0.500)
Ir (0.000, 0.000, 0.000)
Ir (0.250, 0.750, 0.500)
Tl (0.500, 0.500, 0.000)

***

Record 3
TlCoIr2: optimized geometry, GGA-PBE.

The uncorrected energy is -24.69 eV/f.u. The space group is Cmmm.

Unit cell a=2.830 b=2.830 c=9.429 alpha=90.00 beta=90.00 gamma=119.42
Last column: magnetic moment on the atom in μB.
Positions (direct):
Ir (0.000, 0.000, 0.968)  0.40
Ir (0.000, 0.000, 0.532)  0.40
Co (0.500, 0.500, 0.750)  1.98
Tl (0.500, 0.500, 0.250)  0.01

***

Record 4
TlCoIr2: optimized geometry, GGA-PBE.

The uncorrected energy is -25.08 eV/f.u. The space group is P2/m.

Unit cell a=4.560 b=2.840 c=4.934 alpha=87.18 beta=90.00 gamma=90.00
Last column: magnetic moment on the atom in μB.
Positions (direct):
Tl (0.500, 0.250, 0.250)  -0.02
Ir (0.000, 0.529, 0.526)  0.18
Ir (0.000, 0.971, 0.974)  0.18
Co (0.500, 0.750, 0.750)  1.66